Arrangement P

InPN2 | PBE-GGA | relaxed

**Calculated volume**: 45.0 Å³/cell
**Density**: 6.4 g/cm³
**Total moment**: 0.000 μB per atom
**Crystal system**: trigonal
**DOS at the Fermi energy**: 0.00 states/eV/f.u.

extended XYZ file:
```
4
Lattice="1.618 0.000 6.614 -0.809 1.401 6.614 -0.809 -1.401 6.614" Properties=species:S:1:pos:R:3 pbc="T T T"
P 0.000 0.000 9.920
N 0.000 0.000 2.378
N 0.000 0.000 17.463
In 0.000 0.000 0.000
```


Arrangement Q

InPN2 | PBE-GGA | relaxed

**Calculated volume**: 46.8 Å³/cell
**Density**: 6.2 g/cm³
**Total moment**: 0.000 μB per atom
**Crystal system**: cubic
**DOS at the Fermi energy**: 1.79 states/eV/f.u.

extended XYZ file:
```
4
Lattice="0.000 2.860 2.860 2.860 0.000 2.860 2.860 2.860 0.000" Properties=species:S:1:pos:R:3 pbc="T T T"
P 0.000 0.000 0.000
In 2.860 2.860 2.860
N 1.430 1.430 1.430
N 4.290 4.290 4.290
```


Which one sits at the bottom of the stability order? arrangement Q does.


Arrangement P

InP2N | PBE-GGA | relaxed

**Calculated volume**: 137.5 Å³/cell
**Density**: 4.6 g/cm³
**Total moment**: 0.000 μB per atom
**Crystal system**: tetragonal
**DOS at the Fermi energy**: 1.09 states/eV/f.u.

extended XYZ file:
```
8
Lattice="4.761 0.000 0.000 0.000 4.761 0.000 2.380 2.380 6.066" Properties=species:S:1:pos:R:3 pbc="T T T"
In 4.761 2.380 3.033
In 0.000 0.000 0.000
P 2.745 1.190 1.516
P 5.951 5.125 4.549
P 3.570 4.396 4.549
P 2.016 3.570 1.516
N 2.380 2.380 0.000
N 2.380 4.761 3.033
```


Arrangement Q

InP2N | PBE-GGA | relaxed

**Calculated volume**: 62.3 Å³/cell
**Density**: 5.1 g/cm³
**Total moment**: 0.219 μB per atom
**Crystal system**: cubic
**DOS at the Fermi energy**: 2.52 states/eV/f.u.

extended XYZ file:
```
4
Lattice="-3.299 -1.718 2.441 -3.293 2.618 1.446 -4.078 -0.393 -1.734" Properties=species:S:1:pos:R:3 pbc="T T T"
In -5.335 0.254 1.077
P -8.003 0.381 1.615
P -2.668 0.127 0.538
N 0.000 0.000 0.000
```


Which one sits at the bottom of the stability order? arrangement Q does.


Arrangement P

In2PN | PBE-GGA | relaxed

**Calculated volume**: 68.8 Å³/cell
**Density**: 6.6 g/cm³
**Total moment**: 0.000 μB per atom
**Crystal system**: cubic
**DOS at the Fermi energy**: 3.45 states/eV/f.u.

extended XYZ file:
```
4
Lattice="0.000 3.252 3.252 3.252 0.000 3.252 3.252 3.252 0.000" Properties=species:S:1:pos:R:3 pbc="T T T"
N 0.000 0.000 0.000
In 4.878 4.878 4.878
In 1.626 1.626 1.626
P 3.252 3.252 3.252
```


Arrangement Q

In2PN | PBE-GGA | relaxed

**Calculated volume**: 165.4 Å³/cell
**Density**: 5.5 g/cm³
**Total moment**: 0.000 μB per atom
**Crystal system**: tetragonal
**DOS at the Fermi energy**: 0.00 states/eV/f.u.

extended XYZ file:
```
8
Lattice="-2.852 -4.578 -1.235 3.538 -3.014 3.002 -2.738 -3.056 5.258" Properties=species:S:1:pos:R:3 pbc="T T T"
P 0.000 0.000 0.000
P -2.624 -5.715 2.454
N 0.343 -3.796 0.884
N 0.571 -4.933 4.572
In -1.608 -5.299 4.766
In 1.018 -3.464 2.971
In -1.873 -3.758 0.984
In -1.642 -8.774 5.330
```


Which one sits at the bottom of the stability order? arrangement P does.


Arrangement P

Pa2InN | PBE-GGA | relaxed

**Calculated volume**: 76.9 Å³/cell
**Density**: 12.8 g/cm³
**Total moment**: 0.353 μB per atom
**Crystal system**: tetragonal
**DOS at the Fermi energy**: 5.80 states/eV/f.u.

extended XYZ file:
```
4
Lattice="3.083 0.000 0.000 0.000 3.083 0.000 0.000 0.000 8.094" Properties=species:S:1:pos:R:3 pbc="T T T"
N 1.541 1.541 0.000
Pa 0.000 0.000 1.493
Pa 0.000 0.000 6.601
In 1.541 1.541 4.047
```


Arrangement Q

Pa2InN | PBE-GGA | relaxed

**Calculated volume**: 81.7 Å³/cell
**Density**: 12.0 g/cm³
**Total moment**: 0.000 μB per atom
**Crystal system**: trigonal
**DOS at the Fermi energy**: 4.28 states/eV/f.u.

extended XYZ file:
```
4
Lattice="3.297 0.000 0.000 1.649 2.856 0.000 1.649 0.952 8.681" Properties=species:S:1:pos:R:3 pbc="T T T"
Pa 4.946 2.856 7.159
Pa 1.649 0.952 1.522
In 3.297 1.904 4.341
N 0.000 0.000 0.000
```


Which one sits at the bottom of the stability order? arrangement P does.


Arrangement P

PaInN | PBE-GGA | relaxed

**Calculated volume**: 126.7 Å³/cell
**Density**: 9.4 g/cm³
**Total moment**: 0.159 μB per atom
**Crystal system**: orthorhombic
**DOS at the Fermi energy**: 2.84 states/eV/f.u.

extended XYZ file:
```
6
Lattice="-0.405 -0.146 3.389 0.251 -3.193 -0.108 11.659 0.926 -0.288" Properties=species:S:1:pos:R:3 pbc="T T T"
N 1.397 -2.363 1.787
N 10.108 -0.051 1.206
In 4.796 -2.051 0.485
In 6.709 -0.362 2.508
Pa 1.668 -0.679 0.170
Pa 9.837 -1.734 2.823
```


Arrangement Q

PaInN | PBE-GGA | relaxed

**Calculated volume**: 130.4 Å³/cell
**Density**: 9.2 g/cm³
**Total moment**: 0.095 μB per atom
**Crystal system**: tetragonal
**DOS at the Fermi energy**: 3.99 states/eV/f.u.

extended XYZ file:
```
6
Lattice="4.152 0.000 0.000 0.000 4.152 0.000 0.000 0.000 7.561" Properties=species:S:1:pos:R:3 pbc="T T T"
N 1.038 3.114 7.561
N 3.114 1.038 0.000
In 3.114 1.038 3.781
In 1.038 3.114 3.781
Pa 3.114 3.114 6.530
Pa 1.038 1.038 1.031
```


Which one sits at the bottom of the stability order? arrangement P does.


Arrangement P

InPb3N | PBE-GGA | relaxed

**Calculated volume**: 130.8 Å³/cell
**Density**: 9.5 g/cm³
**Total moment**: 0.000 μB per atom
**Crystal system**: cubic
**DOS at the Fermi energy**: 2.67 states/eV/f.u.

extended XYZ file:
```
5
Lattice="5.076 0.000 0.000 0.000 5.076 0.000 0.000 0.000 5.076" Properties=species:S:1:pos:R:3 pbc="T T T"
In 2.538 2.538 2.538
N 0.000 0.000 0.000
Pb 0.000 0.000 2.538
Pb 0.000 2.538 0.000
Pb 2.538 0.000 0.000
```


Arrangement Q

InPb3N | PBE-GGA | relaxed

**Calculated volume**: 186.2 Å³/cell
**Density**: 6.7 g/cm³
**Total moment**: 0.000 μB per atom
**Crystal system**: cubic
**DOS at the Fermi energy**: 4.81 states/eV/f.u.

extended XYZ file:
```
5
Lattice="-4.229 2.042 3.249 0.684 -4.356 3.629 3.776 3.077 2.981" Properties=species:S:1:pos:R:3 pbc="T T T"
N 0.115 0.381 4.930
In 0.000 0.000 0.000
Pb 0.342 -2.178 1.814
Pb -2.115 1.021 1.624
Pb 1.888 1.538 1.491
```


Which one sits at the bottom of the stability order? arrangement Q does.